# 1
Computed, not measured: an optimized crystal structure of CdSbPd at the PBE level of DFT.

Energy relative to the elements, uncorrected (eV/f.u.): -0.3
Fermi-level density of states (states/eV per cell): 1.02
Total DFT energy (no corrections) (eV per atom): -3.5075
SG: P3m1

a b c (Å): 4.538 4.538 3.739
angles (deg): 90.00 90.00 120.00
Fractional positions:
Cd (0.000, 0.000, 0.000)
Sb (0.667, 0.333, 0.499)
Pd (0.333, 0.667, 0.370)



# 2
Computed, not measured: an optimized crystal structure of CdSbPd14 at the PBE level of DFT.

Energy relative to the elements, uncorrected (eV/f.u.): -2.7
Fermi-level density of states (states/eV per cell): 28.36
Total DFT energy (no corrections) (eV per atom): -5.0302
SG: P4/mmm

a b c (Å): 5.716 5.716 7.771
angles (deg): 90.00 90.00 90.00
Fractional positions:
Cd (0.000, 0.000, 0.000)
Sb (0.500, 0.500, 0.000)
Pd (0.000, 0.000, 0.500)
Pd (0.000, 0.500, 0.000)
Pd (0.000, 0.500, 0.500)
Pd (0.252, 0.252, 0.252)
Pd (0.252, 0.252, 0.748)
Pd (0.252, 0.748, 0.252)
Pd (0.252, 0.748, 0.748)
Pd (0.500, 0.000, 0.000)
Pd (0.500, 0.000, 0.500)
Pd (0.500, 0.500, 0.500)
Pd (0.748, 0.252, 0.252)
Pd (0.748, 0.252, 0.748)
Pd (0.748, 0.748, 0.252)
Pd (0.748, 0.748, 0.748)



# 3
Computed, not measured: an optimized crystal structure of CdSbPd6 at the PBE level of DFT.

Energy relative to the elements, uncorrected (eV/f.u.): -2.7
Polymorph energy (0 for the lowest one) (meV per atom): 0
Fermi-level density of states (states/eV per cell): 2.49
Total DFT energy (no corrections) (eV per atom): -4.8679
SG: P-6m2

a b c (Å): 5.737 5.737 4.615
angles (deg): 90.00 90.00 120.00
Fractional positions:
Cd (0.000, 0.000, 0.000)
Sb (0.667, 0.333, 0.500)
Pd (0.000, 0.500, 0.000)
Pd (0.168, 0.336, 0.500)
Pd (0.168, 0.832, 0.500)
Pd (0.500, 0.000, 0.000)
Pd (0.500, 0.500, 0.000)
Pd (0.664, 0.832, 0.500)



# 4
Computed, not measured: an optimized crystal structure of CdSb2Pd at the PBE level of DFT.

Energy relative to the elements, uncorrected (eV/f.u.): -0.2
Fermi-level density of states (states/eV per cell): 1.24
Total DFT energy (no corrections) (eV per atom): -3.6481
SG: I-42d

a b c (Å): 9.447 9.447 9.447
angles (deg): 150.39 150.39 42.37
Fractional positions:
Cd (0.000, 0.000, 0.000)
Cd (0.750, 0.250, 0.500)
Sb (0.176, 0.625, 0.051)
Sb (0.375, 0.426, 0.551)
Sb (0.574, 0.125, 0.949)
Sb (0.875, 0.824, 0.449)
Pd (0.250, 0.750, 0.500)
Pd (0.500, 0.500, 0.000)



# 5
Computed, not measured: an optimized crystal structure of CdSbPd6 at the PBE level of DFT.

Energy relative to the elements, uncorrected (eV/f.u.): -1.1
Polymorph energy (0 for the lowest one) (meV per atom): 206
Fermi-level density of states (states/eV per cell): 4.63
Total DFT energy (no corrections) (eV per atom): -4.6614
SG: C2/m

a b c (Å): 4.833 4.833 7.297
angles (deg): 106.88 106.88 70.00
Fractional positions:
Cd (0.000, 0.000, 0.000)
Sb (0.500, 0.500, 0.500)
Pd (0.051, 0.570, 0.202)
Pd (0.148, 0.148, 0.436)
Pd (0.430, 0.949, 0.798)
Pd (0.570, 0.051, 0.202)
Pd (0.852, 0.852, 0.564)
Pd (0.949, 0.430, 0.798)



# 6
Computed, not measured: an optimized crystal structure of Cd2SbPd at the PBE level of DFT.

Energy relative to the elements, uncorrected (eV/f.u.): -0.4
Fermi-level density of states (states/eV per cell): 1.60
Total DFT energy (no corrections) (eV per atom): -2.8866
SG: P4/mmm

a b c (Å): 4.384 4.384 4.339
angles (deg): 90.00 90.00 90.00
Fractional positions:
Cd (0.000, 0.500, 0.000)
Cd (0.500, 0.000, 0.000)
Sb (0.000, 0.000, 0.500)
Pd (0.500, 0.500, 0.500)



# 7
Computed, not measured: an optimized crystal structure of CdSb2Pd6 at the PBE level of DFT.

Energy relative to the elements, uncorrected (eV/f.u.): -3.3
Polymorph energy (0 for the lowest one) (meV per atom): 7
Fermi-level density of states (states/eV per cell): 9.82
Total DFT energy (no corrections) (eV per atom): -4.8442
SG: P4_2/mnm

a b c (Å): 8.419 8.419 4.368
angles (deg): 90.00 90.00 90.00
Fractional positions:
Cd (0.000, 0.000, 0.000)
Cd (0.500, 0.500, 0.500)
Sb (0.202, 0.202, 0.500)
Sb (0.298, 0.702, 0.000)
Sb (0.702, 0.298, 0.000)
Sb (0.798, 0.798, 0.500)
Pd (0.024, 0.332, 0.000)
Pd (0.137, 0.863, 0.500)
Pd (0.168, 0.524, 0.500)
Pd (0.332, 0.024, 0.000)
Pd (0.363, 0.363, 0.000)
Pd (0.476, 0.832, 0.500)
Pd (0.524, 0.168, 0.500)
Pd (0.637, 0.637, 0.000)
Pd (0.668, 0.976, 0.000)
Pd (0.832, 0.476, 0.500)
Pd (0.863, 0.137, 0.500)
Pd (0.976, 0.668, 0.000)



# 8
Computed, not measured: an optimized crystal structure of Cd2Sb2Pd7 at the PBE level of DFT.

Energy relative to the elements, uncorrected (eV/f.u.): -2.0
Fermi-level density of states (states/eV per cell): 4.91
Total DFT energy (no corrections) (eV per atom): -4.3993
SG: Cmmm

a b c (Å): 6.264 6.264 5.759
angles (deg): 90.00 90.00 97.10
Fractional positions:
Cd (0.184, 0.184, 0.000)
Cd (0.816, 0.816, 0.000)
Sb (0.279, 0.721, 0.500)
Sb (0.721, 0.279, 0.500)
Pd (0.000, 0.000, 0.500)
Pd (0.000, 0.500, 0.237)
Pd (0.000, 0.500, 0.763)
Pd (0.500, 0.000, 0.237)
Pd (0.500, 0.000, 0.763)
Pd (0.500, 0.500, 0.229)
Pd (0.500, 0.500, 0.771)



# 9
Computed, not measured: an optimized crystal structure of CdSb2Pd7 at the PBE level of DFT.

Energy relative to the elements, uncorrected (eV/f.u.): -0.8
Polymorph energy (0 for the lowest one) (meV per atom): 294
Fermi-level density of states (states/eV per cell): 6.34
Total DFT energy (no corrections) (eV per atom): -4.6292
SG: Cmmm

a b c (Å): 7.631 7.631 4.309
angles (deg): 90.00 90.00 121.71
Fractional positions:
Cd (0.000, 0.000, 0.000)
Sb (0.305, 0.695, 0.500)
Sb (0.695, 0.305, 0.500)
Pd (0.076, 0.292, 0.500)
Pd (0.203, 0.797, 0.000)
Pd (0.292, 0.076, 0.500)
Pd (0.500, 0.500, 0.500)
Pd (0.708, 0.924, 0.500)
Pd (0.797, 0.203, 0.000)
Pd (0.924, 0.708, 0.500)



# 10
Computed, not measured: an optimized crystal structure of Cd5Sb2Pd12 at the PBE level of DFT.

Energy relative to the elements, uncorrected (eV/f.u.): -6.5
Fermi-level density of states (states/eV per cell): 8.01
Total DFT energy (no corrections) (eV per atom): -4.2982
SG: C2/m

a b c (Å): 7.826 7.826 5.900
angles (deg): 93.28 93.28 67.86
Fractional positions:
Cd (0.000, 0.000, 0.000)
Cd (0.239, 0.239, 0.035)
Cd (0.318, 0.318, 0.582)
Cd (0.682, 0.682, 0.418)
Cd (0.761, 0.761, 0.965)
Sb (0.249, 0.751, 0.500)
Sb (0.751, 0.249, 0.500)
Pd (0.053, 0.564, 0.295)
Pd (0.112, 0.112, 0.414)
Pd (0.171, 0.627, 0.886)
Pd (0.373, 0.829, 0.114)
Pd (0.436, 0.947, 0.705)
Pd (0.456, 0.456, 0.227)
Pd (0.544, 0.544, 0.773)
Pd (0.564, 0.053, 0.295)
Pd (0.627, 0.171, 0.886)
Pd (0.829, 0.373, 0.114)
Pd (0.888, 0.888, 0.586)
Pd (0.947, 0.436, 0.705)



# 11
Computed, not measured: an optimized crystal structure of CdSb2Pd9 at the PBE level of DFT.

Energy relative to the elements, uncorrected (eV/f.u.): -4.4
Fermi-level density of states (states/eV per cell): 4.51
Total DFT energy (no corrections) (eV per atom): -5.0285
SG: P4/mmm

a b c (Å): 4.043 4.043 12.138
angles (deg): 90.00 90.00 90.00
Fractional positions:
Cd (0.000, 0.000, 0.000)
Sb (0.000, 0.000, 0.326)
Sb (0.000, 0.000, 0.674)
Pd (0.000, 0.500, 0.169)
Pd (0.000, 0.500, 0.500)
Pd (0.000, 0.500, 0.831)
Pd (0.500, 0.000, 0.169)
Pd (0.500, 0.000, 0.500)
Pd (0.500, 0.000, 0.831)
Pd (0.500, 0.500, 0.000)
Pd (0.500, 0.500, 0.338)
Pd (0.500, 0.500, 0.662)



# 12
Computed, not measured: an optimized crystal structure of CdSb2Pd at the PBE level of DFT.

Energy relative to the elements, uncorrected (eV/f.u.): -0.3
Fermi-level density of states (states/eV per cell): 1.91
Total DFT energy (no corrections) (eV per atom): -3.6717
SG: R-3m

a b c (Å): 10.822 10.822 10.822
angles (deg): 17.26 17.26 17.26
Fractional positions:
Cd (0.000, 0.000, 0.000)
Sb (0.101, 0.101, 0.101)
Sb (0.899, 0.899, 0.899)
Pd (0.500, 0.500, 0.500)